Here is HfMnN2O after structural relaxation from the Alexandria database. Energies are from GGA+U.

POSCAR file:
```
HfMnN2O
1.0
3.7902 0.0000 0.0000
0.0000 3.7902 0.0000
0.0000 0.0000 3.6000
Mn Hf O N
1 1 1 2
direct
0.0000 0.0000 0.0000
0.5000 0.5000 0.5000
0.0000 0.0000 0.5000
0.0000 0.5000 0.0000
0.5000 0.0000 0.0000
```

Output
Space group = P4/mmm, No. 123
DOS at the Fermi energy = 0.942 states/eV/cell
E = -0.3031 Ha/atom